DFT (GGA-PBE) results for an optimized crystal structure of RbTi2CdCl.

Output
- uncorrected formation energy (kJ per mole of atoms) = 69.47

Structure (CIF):
```
data_RbTi2CdCl
_chemical_formula_sum 'Rb1 Ti2 Cd1 Cl1'
_cell_length_a 5.299
_cell_length_b 5.299
_cell_length_c 6.787
_cell_angle_alpha 90.00
_cell_angle_beta 90.00
_cell_angle_gamma 90.00
_space_group_name_H-M_alt 'P 4/m m m'
_space_group_IT_number 123
_space_group_name_Hall '-P 4 2'
loop_
_atom_site_label
_atom_site_type_symbol
_atom_site_fract_x
_atom_site_fract_y
_atom_site_fract_z
Rb1 Rb 0.000 0.000 0.000
Ti1 Ti 0.000 0.500 0.500
Cd1 Cd 0.500 0.500 0.500
Cl1 Cl 0.500 0.500 0.000
```

DFT (GGA-PBE) results for an optimized crystal structure of RbTl4Cd3Cl12.

Output
- uncorrected formation energy (kJ per mole of atoms) = -94.91

Structure (CIF):
```
data_RbTl4Cd3Cl12
_chemical_formula_sum 'Rb2 Tl8 Cd6 Cl24'
_cell_length_a 10.854
_cell_length_b 10.854
_cell_length_c 10.854
_cell_angle_alpha 90.00
_cell_angle_beta 90.00
_cell_angle_gamma 90.00
_space_group_name_H-M_alt 'I m -3 m'
_space_group_IT_number 229
_space_group_name_Hall '-I 4 2 3'
loop_
_atom_site_label
_atom_site_type_symbol
_atom_site_fract_x
_atom_site_fract_y
_atom_site_fract_z
Rb1 Rb 0.000 0.000 0.000
Tl1 Tl 0.250 0.250 0.250
Cd1 Cd 0.000 0.000 0.500
Cl1 Cl 0.000 0.000 0.273
Cl2 Cl 0.000 0.250 0.500
```

DFT (GGA-PBE) results for an optimized crystal structure of RbTlCdCl4.

Output
- uncorrected formation energy (kJ per mole of atoms) = -126.83

Structure (CIF):
```
data_RbTlCdCl4
_chemical_formula_sum 'Rb2 Tl2 Cd2 Cl8'
_cell_length_a 7.482
_cell_length_b 7.483
_cell_length_c 8.859
_cell_angle_alpha 90.00
_cell_angle_beta 114.93
_cell_angle_gamma 90.00
_space_group_name_H-M_alt 'C 1 m 1'
_space_group_IT_number 8
loop_
_space_group_symop_operation_xyz
'x,y,z'
'x,-y,z'
'x+1/2,y+1/2,z'
'x+1/2,-y+1/2,z'
loop_
_atom_site_label
_atom_site_type_symbol
_atom_site_fract_x
_atom_site_fract_y
_atom_site_fract_z
Rb1 Rb 0.000 0.000 0.000
Tl1 Tl 0.281 0.000 0.561
Cd1 Cd 0.140 0.500 0.280
Cl1 Cl 0.300 0.500 0.602
Cl2 Cl 0.390 0.250 0.281
Cl3 Cl 0.477 0.000 0.953
```

DFT (GGA-PBE) results for an optimized crystal structure of Rb2Tl3CdCl6.

Output
- uncorrected formation energy (kJ per mole of atoms) = -115.79

Structure (CIF):
```
data_Rb2Tl3CdCl6
_chemical_formula_sum 'Rb4 Tl6 Cd2 Cl12'
_cell_length_a 7.961
_cell_length_b 13.759
_cell_length_c 7.969
_cell_angle_alpha 90.00
_cell_angle_beta 109.54
_cell_angle_gamma 90.00
_space_group_name_H-M_alt 'C 1 2/m 1'
_space_group_IT_number 12
loop_
_space_group_symop_operation_xyz
'x,y,z'
'-x,-y,-z'
'-x,y,-z'
'x,-y,z'
'x+1/2,y+1/2,z'
'-x+1/2,-y+1/2,-z'
'-x+1/2,y+1/2,-z'
'x+1/2,-y+1/2,z'
loop_
_atom_site_label
_atom_site_type_symbol
_atom_site_fract_x
_atom_site_fract_y
_atom_site_fract_z
Rb1 Rb 0.000 0.166 0.000
Tl1 Tl 0.000 0.000 0.500
Tl2 Tl 0.000 0.333 0.500
Cd1 Cd 0.000 0.500 0.000
Cl1 Cl 0.234 0.500 0.747
Cl2 Cl 0.238 0.343 0.243
```

DFT (GGA-PBE) results for an optimized crystal structure of Rb3TlCd2Cl9.

Output
- uncorrected formation energy (kJ per mole of atoms) = -131.55

Structure (CIF):
```
data_Rb3TlCd2Cl9
_chemical_formula_sum 'Rb3 Tl1 Cd2 Cl9'
_cell_length_a 7.5972
_cell_length_b 7.5972
_cell_length_c 9.3216
_cell_angle_alpha 90.00
_cell_angle_beta 90.00
_cell_angle_gamma 120.00
_space_group_name_H-M_alt 'P -3 m 1'
_space_group_IT_number 164
_space_group_name_Hall '-P 3 2"'
loop_
_atom_site_label
_atom_site_type_symbol
_atom_site_fract_x
_atom_site_fract_y
_atom_site_fract_z
Rb1 Rb 0.0000 0.0000 0.0000
Rb2 Rb 0.3333 0.6667 0.6694
Tl1 Tl 0.0000 0.0000 0.5000
Cd1 Cd 0.3333 0.6667 0.1596
Cl1 Cl 0.0000 0.5000 0.0000
Cl2 Cl 0.1723 0.3445 0.3272
```

DFT (GGA-PBE) results for an optimized crystal structure of Rb2Tl2CdCl6.

Output
- uncorrected formation energy (kJ per mole of atoms) = -131.85

Structure (CIF):
```
data_Rb2Tl2CdCl6
_chemical_formula_sum 'Rb4 Tl4 Cd2 Cl12'
_cell_length_a 8.170
_cell_length_b 13.149
_cell_length_c 7.614
_cell_angle_alpha 90.00
_cell_angle_beta 109.06
_cell_angle_gamma 90.00
_space_group_name_H-M_alt 'C 1 2/m 1'
_space_group_IT_number 12
loop_
_space_group_symop_operation_xyz
'x,y,z'
'-x,-y,-z'
'-x,y,-z'
'x,-y,z'
'x+1/2,y+1/2,z'
'-x+1/2,-y+1/2,-z'
'-x+1/2,y+1/2,-z'
'x+1/2,-y+1/2,z'
loop_
_atom_site_label
_atom_site_type_symbol
_atom_site_fract_x
_atom_site_fract_y
_atom_site_fract_z
Rb1 Rb 0.000 0.158 0.000
Tl1 Tl 0.000 0.326 0.500
Cd1 Cd 0.000 0.500 0.000
Cl1 Cl 0.190 0.500 0.766
Cl2 Cl 0.207 0.356 0.214
```